Entry 1:
The following is a PBE calculation of crystalline Mg2ZnIn at its relaxed geometry, from the Alexandria database.

a b c (Å): 5.6951 4.4740 7.1087
angles (deg): 90.00 109.47 90.00
Closest atoms and distances in Å follow each position.
Element x y z (fractional)
1 Mg 0.1557 0.2500 0.4261  3 Zn 2.76-2.93, 2 In 3.01
2 Mg 0.2143 0.2500 0.9124  4 In 2.93-3.05, 3 Zn 2.97-3.02
3 Mg 0.7857 0.7500 0.0876  4 In 2.93-3.05, 3 Zn 2.97-3.02
4 Mg 0.8443 0.7500 0.5739  3 Zn 2.76-2.93, 2 In 3.01
5 Zn 0.3575 0.7500 0.6988  6 Mg 2.76-3.02, 2 In 2.79
6 Zn 0.6425 0.2500 0.3012  6 Mg 2.76-3.02, 2 In 2.79
7 In 0.3314 0.7500 0.2223  2 Zn 2.79, 6 Mg 2.93-3.05
8 In 0.6686 0.2500 0.7777  2 Zn 2.79, 6 Mg 2.93-3.05

Computed properties:
ΔH_f (0 K) = -0.063 eV per atom
Total energy = -1.86 eV/atom
Spin magnetization = 0.00 μB/cell


Entry 2:
The following is a PBE calculation of crystalline Zn9Cu2Ni at its relaxed geometry, from the Alexandria database.

a b c (Å): 4.7185 5.7991 6.1181
angles (deg): 84.13 82.87 84.42
Closest atoms and distances in Å follow each position.
Element x y z (fractional)
1 Zn 0.0000 0.0000 0.0000  2 Cu 2.62, 10 Zn 2.69-2.76
2 Zn 0.0129 0.3415 0.6667  2 Cu 2.59-2.73, 8 Zn 2.61-2.77, 2 Ni 2.61-2.78
3 Zn 0.2502 0.9026 0.5841  1 Ni 2.58, 1 Cu 2.60, 10 Zn 2.68-2.79
4 Zn 0.2663 0.2622 0.2451  1 Ni 2.59, 3 Cu 2.60-2.75, 8 Zn 2.61-2.79
5 Zn 0.4949 0.8155 0.1715  1 Ni 2.58, 2 Cu 2.60-2.61, 9 Zn 2.68-2.84
6 Zn 0.5051 0.1845 0.8285  1 Ni 2.58, 2 Cu 2.60-2.61, 9 Zn 2.68-2.84
7 Zn 0.7337 0.7378 0.7549  1 Ni 2.59, 3 Cu 2.60-2.75, 8 Zn 2.61-2.79
8 Zn 0.7498 0.0974 0.4159  1 Ni 2.58, 1 Cu 2.60, 10 Zn 2.68-2.79
9 Zn 0.9871 0.6585 0.3333  2 Cu 2.59-2.73, 8 Zn 2.61-2.77, 2 Ni 2.61-2.78
10 Cu 0.2436 0.5866 0.9172  9 Zn 2.59-2.75, 2 Cu 2.64-2.80, 1 Ni 2.76
11 Cu 0.7564 0.4134 0.0828  9 Zn 2.59-2.75, 2 Cu 2.64-2.80, 1 Ni 2.76
12 Ni 0.5000 0.5000 0.5000  10 Zn 2.58-2.78, 2 Cu 2.76

Computed properties:
ΔH_f (0 K) = -0.070 eV per atom
Total energy = -2.19 eV/atom
Spin magnetization = 0.00 μB/cell


Entry 3:
The following is a PBE calculation of crystalline ZrMoS at its relaxed geometry, from the Alexandria database.

a b c (Å): 3.4253 3.4253 9.3563
angles (deg): 90.00 90.00 90.00
Closest atoms and distances in Å follow each position.
Element x y z (fractional)
1 Zr 0.2500 0.2500 0.2377  4 S 2.58
2 Zr 0.7500 0.7500 0.7623  4 S 2.58
3 Mo 0.2500 0.2500 0.5730  1 S 2.65, 4 Mo 2.78
4 Mo 0.7500 0.7500 0.4270  1 S 2.65, 4 Mo 2.78
5 S 0.2500 0.2500 0.8560  4 Zr 2.58, 1 Mo 2.65
6 S 0.7500 0.7500 0.1440  4 Zr 2.58, 1 Mo 2.65

Computed properties:
Total energy = -8.73 eV/atom
Spin magnetization = 0.00 μB/cell
Formation energy from raw total energies = -0.89 eV/atom


Entry 4:
The following is a PBE calculation of crystalline AlSnSe2 at its relaxed geometry, from the Alexandria database.

a b c (Å): 3.6601 3.6601 25.9373
angles (deg): 90.00 90.00 120.00
Closest atoms and distances in Å follow each position.
Element x y z (fractional)
1 Al 0.0000 0.0000 0.0000  6 Se 2.54
2 Al 0.3333 0.6667 0.6667  6 Se 2.54
3 Al 0.6667 0.3333 0.3333  6 Se 2.54
4 Sn 0.0000 0.0000 0.5000  2 Se 2.91
5 Sn 0.3333 0.6667 0.1667  2 Se 2.91
6 Sn 0.6667 0.3333 0.8333  2 Se 2.91
7 Se 0.0000 0.0000 0.3880  3 Al 2.54
8 Se 0.0000 0.0000 0.6120  3 Al 2.54
9 Se 0.3333 0.6667 0.0547  3 Al 2.54
10 Se 0.3333 0.6667 0.2787  3 Al 2.54
11 Se 0.6667 0.3333 0.7213  3 Al 2.54
12 Se 0.6667 0.3333 0.9453  3 Al 2.54

Computed properties:
Total energy = -4.21 eV/atom
Spin magnetization = 0.00 μB/cell
Formation energy from raw total energies = -0.54 eV/atom


Entry 5:
The following is a PBE calculation of crystalline Li2HgPdCl6 at its relaxed geometry, from the Alexandria database.

a b c (Å): 6.3290 6.9009 7.1920
angles (deg): 82.12 74.79 63.99
Closest atoms and distances in Å follow each position.
Element x y z (fractional)
1 Li 0.0000 0.0000 0.0000  5 Cl 2.46-2.71
2 Li 0.3637 0.4223 0.7450  4 Cl 2.38-2.44
3 Hg 0.2412 0.0903 0.3847  2 Cl 2.33-2.34
4 Pd 0.7267 0.5693 0.8994  4 Cl 2.31-2.36
5 Cl 0.0519 0.8845 0.3337  1 Hg 2.33, 1 Li 2.48
6 Cl 0.0797 0.3550 0.0034  1 Pd 2.33, 1 Li 2.38
7 Cl 0.3728 0.7649 0.7818  1 Pd 2.36, 2 Li 2.44-2.46
8 Cl 0.4123 0.3166 0.4242  1 Hg 2.34, 1 Li 2.42
9 Cl 0.6763 0.8648 0.0529  1 Pd 2.31, 1 Li 2.53
10 Cl 0.7852 0.2663 0.7512  1 Pd 2.32, 2 Li 2.41-2.57

Computed properties:
Total energy = -3.06 eV/atom
Spin magnetization = 0.00 μB/cell
Formation energy from raw total energies = -1.02 eV/atom


Entry 6:
The following is a PBE calculation of crystalline Er4Hg2Rh at its relaxed geometry, from the Alexandria database.

a b c (Å): 7.8900 12.5164 3.9606
angles (deg): 90.00 90.00 90.00
Closest atoms and distances in Å follow each position.
Element x y z (fractional)
1 Er 0.1296 0.1971 0.0000  1 Rh 2.67
2 Er 0.2248 0.9472 0.5000  2 Rh 2.74
3 Er 0.2752 0.4472 0.5000  2 Rh 2.74
4 Er 0.3704 0.6971 0.0000  1 Rh 2.67
5 Er 0.6296 0.3029 0.0000  1 Rh 2.67
6 Er 0.7248 0.5528 0.5000  2 Rh 2.74
7 Er 0.7752 0.0528 0.5000  2 Rh 2.74
8 Er 0.8704 0.8029 0.0000  1 Rh 2.67
9 Hg 0.0779 0.6679 0.5000  6 Er 3.06-3.17
10 Hg 0.4221 0.1679 0.5000  6 Er 3.06-3.17
11 Hg 0.5779 0.8321 0.5000  6 Er 3.06-3.17
12 Hg 0.9221 0.3321 0.5000  6 Er 3.06-3.17
13 Rh 0.0000 0.0000 0.0000  6 Er 2.67-2.74
14 Rh 0.5000 0.5000 0.0000  6 Er 2.67-2.74

Computed properties:
ΔH_f (0 K) = -0.463 eV per atom
Total energy = -4.21 eV/atom
Spin magnetization = 0.00 μB/cell


Entry 7:
The following is a PBE calculation of crystalline Na2PuS3 at its relaxed geometry, from the Alexandria database.

a b c (Å): 4.3934 12.8551 6.6056
angles (deg): 90.00 90.00 90.00
Closest atoms and distances in Å follow each position.
Element x y z (fractional)
1 Na 0.0000 0.1683 0.0000  4 S 2.79-2.86
2 Na 0.0000 0.8317 0.0000  4 S 2.79-2.86
3 Na 0.5000 0.3317 0.5000  4 S 2.79-2.86
4 Na 0.5000 0.6683 0.5000  4 S 2.79-2.86
5 Pu 0.0000 0.5000 0.9947  4 S 2.51-2.64
6 Pu 0.5000 0.0000 0.4947  4 S 2.51-2.64
7 S 0.0000 0.0000 0.7161  2 Pu 2.64, 2 Na 2.86
8 S 0.0000 0.3477 0.7575  1 Pu 2.51, 2 Na 2.79
9 S 0.0000 0.6523 0.7575  1 Pu 2.51, 2 Na 2.79
10 S 0.5000 0.1523 0.2575  1 Pu 2.51, 2 Na 2.79
11 S 0.5000 0.5000 0.2161  2 Pu 2.64, 2 Na 2.86
12 S 0.5000 0.8477 0.2575  1 Pu 2.51, 2 Na 2.79

Computed properties:
Total energy = -5.93 eV/atom
Relative energy among the computed polymorphs = 339.7 meV/atom
Spin magnetization = 8.00 μB/cell
Formation energy from raw total energies = -1.04 eV/atom


Entry 8:
The following is a PBE calculation of crystalline CeHoEr2As4 at its relaxed geometry, from the Alexandria database.

a b c (Å): 7.1287 4.1213 7.1313
angles (deg): 90.00 109.43 90.00
Closest atoms and distances in Å follow each position.
Element x y z (fractional)
1 Ce 0.0000 0.0000 0.0000  6 As 2.93-2.94
2 Ho 0.0000 0.5000 0.5000  6 As 2.91-2.92
3 Er 0.5000 0.0000 0.5000  6 As 2.89
4 Er 0.5000 0.5000 0.0000  6 As 2.91
5 As 0.2523 0.0000 0.7492  3 Er 2.89-2.91, 2 Ho 2.92, 1 Ce 2.93
6 As 0.2547 0.5000 0.2539  3 Er 2.89-2.91, 1 Ho 2.91, 2 Ce 2.94
7 As 0.7453 0.5000 0.7461  3 Er 2.89-2.91, 1 Ho 2.91, 2 Ce 2.94
8 As 0.7477 0.0000 0.2508  3 Er 2.89-2.91, 2 Ho 2.92, 1 Ce 2.93

Computed properties:
ΔH_f (0 K) = -1.497 eV per atom
Total energy = -6.28 eV/atom
Spin magnetization = 0.55 μB/cell